(a)
Ni2AsPd2: relaxed, PBE.

```
data_Ni2AsPd2
_chemical_formula_sum 'Ni4 As2 Pd4'
_space_group_name_H-M_alt 'P 4/m b m'
_space_group_IT_number 127
_space_group_name_Hall '-P 4 2ab'
_cell_length_a 5.940
_cell_length_b 5.940
_cell_length_c 4.015
_cell_angle_alpha 90.00
_cell_angle_beta 90.00
_cell_angle_gamma 90.00
loop_
_atom_site_label
_atom_site_type_symbol
_atom_site_fract_x
_atom_site_fract_y
_atom_site_fract_z
Ni1 Ni 0.139 0.361 0.000
As1 As 0.000 0.000 0.000
Pd1 Pd 0.166 0.666 0.500
```

Computed properties:
For the magnetization, the calculation gives 0.00 μB/cell. The crystal system is tetragonal.

---

(b)
Ni2AsPd2: relaxed, PBE.

```
data_Ni2AsPd2
_chemical_formula_sum 'Ni4 As2 Pd4'
_space_group_name_H-M_alt 'P 4/m b m'
_space_group_IT_number 127
_space_group_name_Hall '-P 4 2ab'
_cell_length_a 6.547
_cell_length_b 6.547
_cell_length_c 3.468
_cell_angle_alpha 90.00
_cell_angle_beta 90.00
_cell_angle_gamma 90.00
loop_
_atom_site_label
_atom_site_type_symbol
_atom_site_fract_x
_atom_site_fract_y
_atom_site_fract_z
Ni1 Ni 0.143 0.357 0.000
As1 As 0.000 0.000 0.500
Pd1 Pd 0.151 0.651 0.500
```

Computed properties:
For the magnetization, the calculation gives 1.68 μB/cell. The crystal system is tetragonal.

---

Which of them is the most stable, and which is the least stable? (a) and (b), in that order.

---

(a)
NiAsPdSe2: relaxed, PBE.

```
data_NiAsPdSe2
_chemical_formula_sum 'Ni1 As1 Pd1 Se2'
_space_group_name_H-M_alt 'P 4/m m m'
_space_group_IT_number 123
_space_group_name_Hall '-P 4 2'
_cell_length_a 4.778
_cell_length_b 4.778
_cell_length_c 4.409
_cell_angle_alpha 90.00
_cell_angle_beta 90.00
_cell_angle_gamma 90.00
loop_
_atom_site_label
_atom_site_type_symbol
_atom_site_fract_x
_atom_site_fract_y
_atom_site_fract_z
Ni1 Ni 0.000 0.000 0.000
As1 As 0.000 0.000 0.500
Pd1 Pd 0.500 0.500 0.500
Se1 Se 0.000 0.500 0.000
```

Computed properties:
For the magnetization, the calculation gives 0.00 μB/cell. The crystal system is tetragonal.

---

(b)
NiAsPdSe2: relaxed, PBE.

```
data_NiAsPdSe2
_chemical_formula_sum 'Ni1 As1 Pd1 Se2'
_space_group_name_H-M_alt 'P 4/m m m'
_space_group_IT_number 123
_space_group_name_Hall '-P 4 2'
_cell_length_a 5.041
_cell_length_b 5.041
_cell_length_c 4.658
_cell_angle_alpha 90.00
_cell_angle_beta 90.00
_cell_angle_gamma 90.00
loop_
_atom_site_label
_atom_site_type_symbol
_atom_site_fract_x
_atom_site_fract_y
_atom_site_fract_z
Ni1 Ni 0.000 0.000 0.000
As1 As 0.500 0.500 0.000
Pd1 Pd 0.500 0.500 0.500
Se1 Se 0.000 0.500 0.500
```

Computed properties:
For the magnetization, the calculation gives 1.39 μB/cell. The crystal system is tetragonal.

---

Which of them is the most stable, and which is the least stable? (a) and (b), in that order.

---

(a)
PmNiAs2: relaxed, PBE.

```
data_PmNiAs2
_chemical_formula_sum 'Pm2 Ni2 As4'
_space_group_name_H-M_alt 'I -4 m 2'
_space_group_IT_number 119
_space_group_name_Hall 'I -4 -2'
_cell_length_a 4.047
_cell_length_b 4.047
_cell_length_c 9.706
_cell_angle_alpha 90.00
_cell_angle_beta 90.00
_cell_angle_gamma 90.00
loop_
_atom_site_label
_atom_site_type_symbol
_atom_site_fract_x
_atom_site_fract_y
_atom_site_fract_z
Pm1 Pm 0.000 0.000 0.000
Ni1 Ni 0.000 0.500 0.250
As1 As 0.000 0.000 0.366
```

Computed properties:
For the magnetization, the calculation gives 0.00 μB/cell. The crystal system is tetragonal.

---

(b)
PmNiAs2: relaxed, PBE.

```
data_PmNiAs2
_chemical_formula_sum 'Pm8 Ni8 As16'
_space_group_name_H-M_alt 'F m m 2'
_space_group_IT_number 42
_space_group_name_Hall 'F 2 -2'
_cell_length_a 5.697
_cell_length_b 19.263
_cell_length_c 5.697
_cell_angle_alpha 90.00
_cell_angle_beta 90.00
_cell_angle_gamma 90.00
loop_
_atom_site_label
_atom_site_type_symbol
_atom_site_fract_x
_atom_site_fract_y
_atom_site_fract_z
Pm1 Pm 0.000 0.120 0.000
Ni1 Ni 0.250 0.250 0.250
As1 As 0.000 0.184 0.500
As2 As 0.249 0.000 0.749
```

Computed properties:
For the magnetization, the calculation gives 0.00 μB/cell. The crystal system is orthorhombic.

---

Which of them is the most stable, and which is the least stable? (a) and (b), in that order.

---

(a)
Pm2NiAs: relaxed, PBE.

```
data_Pm2NiAs
_chemical_formula_sum 'Pm8 Ni4 As4'
_space_group_name_H-M_alt 'F m -3 m'
_space_group_IT_number 225
_space_group_name_Hall '-F 4 2 3'
_cell_length_a 7.140
_cell_length_b 7.140
_cell_length_c 7.140
_cell_angle_alpha 90.00
_cell_angle_beta 90.00
_cell_angle_gamma 90.00
loop_
_atom_site_label
_atom_site_type_symbol
_atom_site_fract_x
_atom_site_fract_y
_atom_site_fract_z
Pm1 Pm 0.250 0.250 0.250
Ni1 Ni 0.000 0.000 0.000
As1 As 0.000 0.000 0.500
```

Computed properties:
For the magnetization, the calculation gives 2.34 μB/cell. The crystal system is cubic.

---

(b)
Pm2NiAs: relaxed, PBE.

```
data_Pm2NiAs
_chemical_formula_sum 'Pm2 Ni1 As1'
_space_group_name_H-M_alt 'P 4/m m m'
_space_group_IT_number 123
_space_group_name_Hall '-P 4 2'
_cell_length_a 3.628
_cell_length_b 3.628
_cell_length_c 6.946
_cell_angle_alpha 90.00
_cell_angle_beta 90.00
_cell_angle_gamma 90.00
loop_
_atom_site_label
_atom_site_type_symbol
_atom_site_fract_x
_atom_site_fract_y
_atom_site_fract_z
Pm1 Pm 0.000 0.000 0.248
Ni1 Ni 0.500 0.500 0.000
As1 As 0.500 0.500 0.500
```

Computed properties:
For the magnetization, the calculation gives 0.00 μB/cell. The crystal system is tetragonal.

---

(c)
Pm2NiAs: relaxed, PBE.

```
data_Pm2NiAs
_chemical_formula_sum 'Pm6 Ni3 As3'
_space_group_name_H-M_alt 'R -3 m'
_space_group_IT_number 166
_space_group_name_Hall '-R 3 2"'
_cell_length_a 4.1255
_cell_length_b 4.1255
_cell_length_c 20.6377
_cell_angle_alpha 90.00
_cell_angle_beta 90.00
_cell_angle_gamma 120.00
loop_
_atom_site_label
_atom_site_type_symbol
_atom_site_fract_x
_atom_site_fract_y
_atom_site_fract_z
Pm1 Pm 0.0000 0.0000 0.2473
Ni1 Ni 0.0000 0.0000 0.5000
As1 As 0.0000 0.0000 0.0000
```

Computed properties:
For the magnetization, the calculation gives 0.00 μB/cell. The crystal system is trigonal.

---

Which of them is the most stable, and which is the least stable? (c) and (a), in that order.

---

(a)
NiAs2Pt: relaxed, PBE.

```
data_NiAs2Pt
_chemical_formula_sum 'Ni4 As8 Pt4'
_space_group_name_H-M_alt 'F m -3 m'
_space_group_IT_number 225
_space_group_name_Hall '-F 4 2 3'
_cell_length_a 6.282
_cell_length_b 6.282
_cell_length_c 6.282
_cell_angle_alpha 90.00
_cell_angle_beta 90.00
_cell_angle_gamma 90.00
loop_
_atom_site_label
_atom_site_type_symbol
_atom_site_fract_x
_atom_site_fract_y
_atom_site_fract_z
Ni1 Ni 0.000 0.000 0.000
As1 As 0.250 0.250 0.250
Pt1 Pt 0.000 0.000 0.500
```

Computed properties:
For the magnetization, the calculation gives 0.00 μB/cell. The crystal system is cubic.

---

(b)
NiAs2Pt: relaxed, PBE.

```
data_NiAs2Pt
_chemical_formula_sum 'Ni3 As6 Pt3'
_space_group_name_H-M_alt 'R 3 m'
_space_group_IT_number 160
_space_group_name_Hall 'R 3 -2"'
_cell_length_a 3.6900
_cell_length_b 3.6900
_cell_length_c 18.5099
_cell_angle_alpha 90.00
_cell_angle_beta 90.00
_cell_angle_gamma 120.00
loop_
_atom_site_label
_atom_site_type_symbol
_atom_site_fract_x
_atom_site_fract_y
_atom_site_fract_z
Ni1 Ni 0.0000 0.0000 0.0000
As1 As 0.0000 0.0000 0.5162
As2 As 0.0000 0.0000 0.7103
Pt1 Pt 0.0000 0.0000 0.2505
```

Computed properties:
For the magnetization, the calculation gives 0.00 μB/cell. The crystal system is trigonal.

---

(c)
NiAs2Pt: relaxed, PBE.

```
data_NiAs2Pt
_chemical_formula_sum 'Ni4 As8 Pt4'
_space_group_name_H-M_alt 'F -4 3 m'
_space_group_IT_number 216
_space_group_name_Hall 'F -4 2 3'
_cell_length_a 6.310
_cell_length_b 6.310
_cell_length_c 6.310
_cell_angle_alpha 90.00
_cell_angle_beta 90.00
_cell_angle_gamma 90.00
loop_
_atom_site_label
_atom_site_type_symbol
_atom_site_fract_x
_atom_site_fract_y
_atom_site_fract_z
Ni1 Ni 0.000 0.000 0.000
As1 As 0.000 0.000 0.500
As2 As 0.250 0.250 0.250
Pt1 Pt 0.250 0.250 0.750
```

Computed properties:
For the magnetization, the calculation gives 0.00 μB/cell. The crystal system is cubic.

---

Which of them is the most stable, and which is the least stable? (b) and (c), in that order.

---

(a)
NiAs2Pt: relaxed, PBE.

```
data_NiAs2Pt
_chemical_formula_sum 'Ni1 As2 Pt1'
_space_group_name_H-M_alt 'P 1 m 1'
_space_group_IT_number 6
_cell_length_a 3.928
_cell_length_b 3.927
_cell_length_c 5.032
_cell_angle_alpha 90.00
_cell_angle_beta 90.08
_cell_angle_gamma 90.00
loop_
_space_group_symop_operation_xyz
'x,y,z'
'x,-y,z'
loop_
_atom_site_label
_atom_site_type_symbol
_atom_site_fract_x
_atom_site_fract_y
_atom_site_fract_z
Ni1 Ni 0.000 0.000 0.000
As1 As 0.001 0.500 0.289
As2 As 0.500 0.000 0.711
Pt1 Pt 0.500 0.500 0.000
```

Computed properties:
For the magnetization, the calculation gives 0.00 μB/cell. The crystal system is monoclinic.

---

(b)
NiAs2Pt: relaxed, PBE.

```
data_NiAs2Pt
_chemical_formula_sum 'Ni3 As6 Pt3'
_space_group_name_H-M_alt 'R -3 m'
_space_group_IT_number 166
_space_group_name_Hall '-R 3 2"'
_cell_length_a 3.6251
_cell_length_b 3.6251
_cell_length_c 17.2916
_cell_angle_alpha 90.00
_cell_angle_beta 90.00
_cell_angle_gamma 120.00
loop_
_atom_site_label
_atom_site_type_symbol
_atom_site_fract_x
_atom_site_fract_y
_atom_site_fract_z
Ni1 Ni 0.0000 0.0000 0.0000
As1 As 0.0000 0.0000 0.2569
Pt1 Pt 0.0000 0.0000 0.5000
```

Computed properties:
For the magnetization, the calculation gives 0.00 μB/cell. The crystal system is trigonal.

---

Which of them is the most stable, and which is the least stable? (a) and (b), in that order.